#i
DFT (PBE) results for a relaxed BeSe3 crystal.

Cell lengths 3.4957, 8.2269, 6.4699 Å; angles 90.00, 90.00, 90.00 degrees
Atoms (fractional coordinates):
Be 0.2500 0.2500 0.2162
Be 0.7500 0.7500 0.7838
Se 0.2500 0.5503 0.7942
Se 0.2500 0.7500 0.5056
Se 0.2500 0.9497 0.7942
Se 0.7500 0.0503 0.2058
Se 0.7500 0.2500 0.4944
Se 0.7500 0.4497 0.2058

---

#ii
DFT (PBE) results for a relaxed BeSe3 crystal.

Cell lengths 7.4682, 7.4682, 3.3477 Å; angles 90.00, 90.00, 120.00 degrees
Atoms (fractional coordinates):
Be 0.3333 0.6667 0.2500
Be 0.6667 0.3333 0.7500
Se 0.2013 0.4025 0.7500
Se 0.2013 0.7987 0.7500
Se 0.4025 0.2013 0.2500
Se 0.5975 0.7987 0.7500
Se 0.7987 0.2013 0.2500
Se 0.7987 0.5975 0.2500

---

#i ends up most stable, edging out the next structure by 8.8 kJ/mol of atoms.